LaPuMgIn after structural relaxation. Source: the Alexandria database, functional PBE.

abc: 5.484 5.484 5.484
angles: 60.00 60.00 60.00
Last column: magnetic moment on the atom in μB.
Atoms (fractional coordinates):
Mg 0.000 0.000 0.000  0.01
La 0.250 0.250 0.250  0.15
In 0.500 0.500 0.500  -0.04
Pu 0.750 0.750 0.750  5.56

Values from the calculation:
**Theoretical density**: 7.4 g/cm³
**Calculated formation energy**: -0.118 eV per atom

---

LaMgIn2Rh after structural relaxation. Source: the Alexandria database, functional PBE.

abc: 5.122 5.122 4.922
angles: 90.00 90.00 90.00
Atoms (fractional coordinates):
Mg 0.000 0.000 0.500
In 0.000 0.500 0.000
In 0.500 0.000 0.000
Rh 0.000 0.000 0.000
La 0.500 0.500 0.500

Values from the calculation:
**Theoretical density**: 6.4 g/cm³
**Calculated formation energy**: -0.385 eV per atom